Compound: CrCF2
Source: Alexandria via LeMat-Bulk
Functional: GGA+U
Structure: relaxed

Properties
Polymorph energy (0 for the lowest one) in meV per atom: 818
Total energy in eV/atom: -4.565
Total magnetization in μB/atom: 0.144
Mass density in g cm⁻³: 3.14

Geometry as CIF:
```
data_CrCF2
_chemical_formula_sum 'Cr3 C3 F6'
_cell_length_a 2.6215
_cell_length_b 2.6215
_cell_length_c 27.1977
_cell_angle_alpha 90.00
_cell_angle_beta 90.00
_cell_angle_gamma 120.00
_space_group_name_H-M_alt 'P 1'
_space_group_IT_number 1
loop_
_space_group_symop_operation_xyz
'x,y,z'
loop_
_atom_site_label
_atom_site_type_symbol
_atom_site_fract_x
_atom_site_fract_y
_atom_site_fract_z
_atom_site_occupancy
Cr1 Cr 0.0000 0.0000 0.0000 1
Cr2 Cr 0.3333 0.6667 0.6667 1
Cr3 Cr 0.6667 0.3333 0.3333 1
C1 C 0.0000 0.0000 0.5000 1
C2 C 0.3333 0.6667 0.1667 1
C3 C 0.6667 0.3333 0.8333 1
F1 F 0.0000 0.0000 0.3829 1
F2 F 0.0000 0.0000 0.6171 1
F3 F 0.3333 0.6667 0.0496 1
F4 F 0.3333 0.6667 0.2837 1
F5 F 0.6667 0.3333 0.7163 1
F6 F 0.6667 0.3333 0.9504 1
```